# Pr2ScZnO6

A relaxed structure of Pr2ScZnO6 (PBE-GGA, the Alexandria database).

Output
DOS(E_F)	12.4	states/eV/cell
SG	No. 14
DFT total energy	-7.44	eV per atom
E_form (uncorrected)	-2.75	eV per atom

Cell and atoms, written as POSCAR:
```
Pr2ScZnO6
1.0
-3.016 -0.657 4.664
-4.654 -1.476 -3.218
2.248 -7.667 0.266
Pr Sc Zn O
4 2 2 12
Cartesian
-3.863 -3.304 -2.874 Pr
-2.489 -6.909 0.807 Pr
-1.560 -6.496 4.586 Pr
-2.933 -2.892 0.906 Pr
-1.508 -0.329 2.332 Sc
-1.203 -4.571 -1.476 Sc
-0.384 -4.162 2.465 Zn
-2.327 -0.738 -1.609 Zn
-4.052 -1.648 -0.843 O
-4.884 -5.952 1.313 O
-1.371 -8.152 2.555 O
-0.539 -3.848 0.400 O
-3.150 -4.650 -0.732 O
-4.015 -8.965 1.401 O
-2.272 -5.150 2.444 O
-1.408 -0.836 0.311 O
-4.637 -3.284 2.529 O
-4.007 -7.424 -1.054 O
-0.786 -6.516 -0.817 O
-1.415 -2.376 2.767 O
```

# Pr2ZrScO6

A relaxed structure of Pr2ZrScO6 (PBE-GGA, the Alexandria database).

Output
DOS(E_F)	6.8	states/eV/cell
SG	No. 14
DFT total energy	-8.67	eV per atom
E_form (uncorrected)	-3.25	eV per atom

Cell and atoms, written as POSCAR:
```
Pr2ZrScO6
1.0
5.722 0.000 -0.066
0.000 5.956 0.000
-0.043 0.000 8.123
Pr Zr Sc O
4 2 2 12
Cartesian
0.058 5.576 2.006 Pr
2.897 3.358 6.035 Pr
5.621 0.380 6.051 Pr
2.782 2.598 2.023 Pr
2.840 0.000 4.029 Zr
0.000 2.978 0.000 Zr
2.861 0.000 -0.033 Sc
-0.022 2.978 4.062 Sc
1.778 4.157 0.420 O
4.617 4.777 4.448 O
3.902 1.799 7.638 O
1.062 1.179 3.609 O
1.726 4.126 3.590 O
4.565 4.808 7.618 O
3.953 1.830 4.468 O
1.114 1.148 0.439 O
5.081 3.213 1.974 O
2.198 5.721 6.069 O
0.598 2.743 6.083 O
3.481 0.235 1.989 O
```

# Pr4Se5O

A relaxed structure of Pr4Se5O (PBE-GGA, the Alexandria database).

Output
DOS(E_F)	0.2	states/eV/cell
SG	No. 71
DFT total energy	-6.08	eV per atom
E_form (uncorrected)	-1.93	eV per atom

Cell and atoms, written as POSCAR:
```
Pr4Se5O
1.0
3.985 0.000 0.000
0.000 7.661 -1.213
-1.992 -2.387 9.752
Pr Se O
4 5 1
Cartesian
0.000 4.644 4.542 Pr
0.000 5.978 -0.946 Pr
1.992 0.631 3.997 Pr
1.992 -0.703 9.485 Pr
1.992 2.926 5.912 Se
1.992 -0.961 6.527 Se
0.000 6.236 2.012 Se
1.992 3.831 -0.607 Se
0.000 2.348 2.627 Se
1.992 0.000 0.000 O
```

# PrSe2O5

A relaxed structure of PrSe2O5 (PBE-GGA, the Alexandria database).

Output
DOS(E_F)	12.6	states/eV/cell
SG	No. 60
DFT total energy	-6.00	eV per atom
E_form (uncorrected)	-1.43	eV per atom

Cell and atoms, written as POSCAR:
```
PrSe2O5
1.0
-5.090 4.866 -2.306
-4.831 -2.953 4.431
3.085 7.047 8.060
Pr Se O
4 8 20
Cartesian
-0.936 10.232 5.798 Pr
-1.942 3.728 6.201 Pr
-1.069 1.682 -0.045 Pr
-4.894 5.231 3.984 Pr
0.620 5.090 8.574 Se
-1.294 6.763 4.424 Se
-7.230 6.589 6.848 Se
-2.684 6.525 8.584 Se
-7.456 3.870 1.611 Se
-5.542 2.197 5.761 Se
0.394 2.371 3.337 Se
-4.152 2.434 1.601 Se
0.048 4.233 2.873 O
-6.011 2.680 1.066 O
-2.053 7.680 2.880 O
-0.825 6.280 9.119 O
-3.924 4.019 2.220 O
-0.784 1.694 2.287 O
-5.203 0.960 4.621 O
-6.847 4.200 3.181 O
-2.912 4.940 7.964 O
-6.052 7.266 7.897 O
-1.634 8.000 5.564 O
0.010 4.760 7.004 O
-0.432 2.269 4.902 O
-3.345 2.554 0.028 O
-8.728 2.689 1.970 O
-4.251 3.360 5.410 O
-6.404 6.690 5.283 O
-3.491 6.406 10.157 O
1.892 6.271 8.215 O
-2.585 5.599 4.775 O
```

# PrSeO4

A relaxed structure of PrSeO4 (PBE-GGA, the Alexandria database).

Output
DOS(E_F)	2.3	states/eV/cell
SG	No. 141
DFT total energy	-6.44	eV per atom
E_form (uncorrected)	-1.76	eV per atom

Cell and atoms, written as POSCAR:
```
PrSeO4
1.0
-5.945 -1.008 -1.817
2.392 -4.192 4.046
0.026 5.549 2.976
Pr Se O
2 2 8
Cartesian
0.000 0.000 0.000 Pr
-3.848 0.971 1.137 Pr
0.321 -0.621 4.068 Se
-1.776 -2.600 1.114 Se
0.726 -2.373 4.268 O
-1.376 -0.760 4.680 O
-1.993 -3.304 2.767 O
-2.181 -0.848 0.915 O
-2.826 1.763 3.249 O
0.538 0.084 2.416 O
-0.053 3.089 3.480 O
1.396 0.566 4.910 O
```

# Pr4SeO5

A relaxed structure of Pr4SeO5 (PBE-GGA, the Alexandria database).

Output
SG	No. 71
DFT total energy	-7.57	eV per atom
E_form (uncorrected)	-2.83	eV per atom

Cell and atoms, written as POSCAR:
```
Pr4SeO5
1.0
3.877 0.000 0.000
0.000 7.000 -1.315
-1.938 -2.237 7.377
Pr Se O
4 1 5
Cartesian
0.000 4.206 3.094 Pr
1.938 2.765 6.437 Pr
1.938 0.557 2.968 Pr
0.000 1.998 -0.375 Pr
1.938 0.000 0.000 Se
1.938 2.790 4.079 O
1.938 -1.117 4.814 O
0.000 5.880 1.248 O
1.938 3.500 -0.658 O
0.000 1.973 1.983 O
```

# Pr3Se2O2

A relaxed structure of Pr3Se2O2 (PBE-GGA, the Alexandria database).

Output
DOS(E_F)	2.1	states/eV/cell
SG	No. 2
DFT total energy	-6.78	eV per atom
distance to the lowest polymorph of the same formula	246.7	meV per atom
E_form (uncorrected)	-2.32	eV per atom

Cell and atoms, written as POSCAR:
```
Pr3Se2O2
1.0
-3.585 1.064 0.331
0.139 -6.271 0.503
1.149 1.676 7.064
Pr Se O
3 2 2
Cartesian
0.000 0.000 0.000 Pr
-2.429 -2.215 2.159 Pr
0.131 -1.316 5.739 Pr
-2.339 -2.823 5.107 Se
0.041 -0.708 2.791 Se
-1.168 0.527 6.989 O
-1.130 -4.059 0.908 O
```

# Pr5Se5O2

A relaxed structure of Pr5Se5O2 (PBE-GGA, the Alexandria database).

Output
DOS(E_F)	1.6	states/eV/cell
SG	No. 12
DFT total energy	-6.50	eV per atom
E_form (uncorrected)	-2.23	eV per atom

Cell and atoms, written as POSCAR:
```
Pr5Se5O2
1.0
-1.751 1.149 3.437
1.799 -6.721 0.807
9.362 5.777 2.838
Pr Se O
5 5 2
Cartesian
3.699 0.947 1.568 Pr
6.857 3.218 4.774 Pr
2.553 -3.013 2.308 Pr
5.711 -0.742 5.514 Pr
0.000 0.000 0.000 Pr
3.806 3.463 3.137 Se
0.038 -1.089 2.740 Se
2.998 -0.539 4.064 Se
6.412 0.744 3.018 Se
9.372 1.294 4.342 Se
7.551 4.106 2.474 O
1.859 -3.901 4.608 O
```

Which of these has the lowest E_form (uncorrected)?
Pr2ZrScO6

Which value of DFT total energy does entry 2 give?
-8.67 eV per atom

Which of these has the highest E_form (uncorrected)?
PrSe2O5